1.
Computed, not measured: crystalline Tl2NiTeN at its relaxed geometry at the GGA-PBE level of DFT.

Results
relative energy among the computed polymorphs = 1.043 eV/atom
uncorrected energy = -15.70 eV for the cell shown
symmetry = P4/mmm (123)

Cell lengths 6.5209, 4.6399, 6.5209 Å; angles 90.00, 90.00, 90.00 degrees
Last column: nearest neighbours and their distance in Å.
Element x y z (fractional)
Ni  0.0000  0.5000  0.0000  2 Te 2.32
N  0.5000  0.5000  0.5000  8 Tl 4.00
Te  0.0000  0.0000  0.0000  2 Ni 2.32
Tl  0.5000  0.0000  0.0000  2 Te 3.26
Tl  0.0000  0.0000  0.5000  2 Te 3.26


2.
Computed, not measured: crystalline Tl2NiTeN at its relaxed geometry at the GGA-PBE level of DFT.

Results
relative energy among the computed polymorphs = 0.000 eV/atom
uncorrected energy = -20.92 eV for the cell shown
symmetry = P4/mmm (123)

Cell lengths 5.9473, 3.4422, 5.9473 Å; angles 90.00, 90.00, 90.00 degrees
Last column: nearest neighbours and their distance in Å.
Element x y z (fractional)
Ni  0.0000  0.5000  0.0000  2 N 1.72
N  0.0000  0.0000  0.0000  2 Ni 1.72
Tl  0.0000  0.0000  0.5000  2 N 2.97
Tl  0.5000  0.0000  0.0000  2 N 2.97
Te  0.5000  0.5000  0.5000  8 Tl 3.44, 2 Te 3.44


3.
Computed, not measured: crystalline VNiTeN2 at its relaxed geometry at the GGA-PBE level of DFT.

Results
relative energy among the computed polymorphs = 0.887 eV/atom
uncorrected energy = -27.74 eV for the cell shown
symmetry = P4/mmm (123)

Cell lengths 3.7436, 3.7436, 5.1284 Å; angles 90.00, 90.00, 90.00 degrees
Last column: nearest neighbours and their distance in Å.
Element x y z (fractional)
Ni  0.0000  0.0000  0.0000  4 N 1.87
V  0.5000  0.5000  0.5000  4 Te 2.65
Te  0.0000  0.0000  0.5000  2 Ni 2.56, 4 V 2.65
N  0.5000  0.0000  0.0000  2 Ni 1.87
N  0.0000  0.5000  0.0000  2 Ni 1.87


4.
Computed, not measured: crystalline VNiTeN2 at its relaxed geometry at the GGA-PBE level of DFT.

Results
relative energy among the computed polymorphs = 0.000 eV/atom
uncorrected energy = -32.17 eV for the cell shown
symmetry = P4/mmm (123)

Cell lengths 3.7154, 3.7154, 5.7362 Å; angles 90.00, 90.00, 90.00 degrees
Last column: nearest neighbours and their distance in Å.
Element x y z (fractional)
V  0.0000  0.0000  0.0000  4 N 1.86
N  0.0000  0.5000  0.0000  2 V 1.86
Te  0.0000  0.0000  0.5000  4 Ni 2.63, 2 V 2.87
N  0.5000  0.0000  0.0000  2 V 1.86
Ni  0.5000  0.5000  0.5000  4 Te 2.63


5.
Computed, not measured: crystalline NiTe2WN at its relaxed geometry at the GGA-PBE level of DFT.

Results
relative energy among the computed polymorphs = 0.323 eV/atom
uncorrected energy = -28.41 eV for the cell shown
symmetry = P4/mmm (123)

Cell lengths 5.2268, 5.2268, 3.3959 Å; angles 90.00, 90.00, 90.00 degrees
Last column: nearest neighbours and their distance in Å.
Element x y z (fractional)
Te  0.0000  0.5000  0.0000  2 Ni 2.61
Te  0.5000  0.0000  0.0000  2 Ni 2.61
Ni  0.0000  0.0000  0.0000  2 N 1.70
W  0.5000  0.5000  0.5000  8 Te 3.12, 2 W 3.40
N  0.0000  0.0000  0.5000  2 Ni 1.70


6.
Computed, not measured: crystalline NiTe2WN at its relaxed geometry at the GGA-PBE level of DFT.

Results
relative energy among the computed polymorphs = 0.000 eV/atom
uncorrected energy = -30.03 eV for the cell shown
symmetry = P4/mmm (123)

Cell lengths 5.3827, 5.3827, 3.7819 Å; angles 90.00, 90.00, 90.00 degrees
Last column: nearest neighbours and their distance in Å.
Element x y z (fractional)
W  0.0000  0.0000  0.0000  2 N 1.89
Te  0.0000  0.5000  0.0000  2 W 2.69
Te  0.5000  0.0000  0.0000  2 W 2.69
Ni  0.5000  0.5000  0.5000  8 Te 3.29
N  0.0000  0.0000  0.5000  2 W 1.89


7.
Computed, not measured: crystalline YNiTeN2 at its relaxed geometry at the GGA-PBE level of DFT.

Results
relative energy among the computed polymorphs = 0.000 eV/atom
uncorrected energy = -28.93 eV for the cell shown
symmetry = P4/mmm (123)

Cell lengths 4.0816, 4.0816, 4.9124 Å; angles 90.00, 90.00, 90.00 degrees
Last column: nearest neighbours and their distance in Å.
Element x y z (fractional)
N  0.5000  0.0000  0.0000  2 Ni 2.04
Te  0.0000  0.0000  0.5000  2 Ni 2.46
Ni  0.0000  0.0000  0.0000  4 N 2.04
Y  0.5000  0.5000  0.5000  4 Te 2.89, 8 N 3.19
N  0.0000  0.5000  0.0000  2 Ni 2.04


8.
Computed, not measured: crystalline YNiTeN2 at its relaxed geometry at the GGA-PBE level of DFT.

Results
relative energy among the computed polymorphs = 0.475 eV/atom
uncorrected energy = -26.56 eV for the cell shown
symmetry = P4/mmm (123)

Cell lengths 4.3495, 4.3495, 6.2821 Å; angles 90.00, 90.00, 90.00 degrees
Last column: nearest neighbours and their distance in Å.
Element x y z (fractional)
Ni  0.5000  0.5000  0.5000  4 Te 3.08
Te  0.0000  0.0000  0.5000  4 Ni 3.08, 2 Y 3.14
N  0.5000  0.0000  0.0000  2 Y 2.17
N  0.0000  0.5000  0.0000  2 Y 2.17
Y  0.0000  0.0000  0.0000  4 N 2.17


9.
Computed, not measured: crystalline ZrNiTe2N at its relaxed geometry at the GGA-PBE level of DFT.

Results
relative energy among the computed polymorphs = 0.283 eV/atom
uncorrected energy = -26.43 eV for the cell shown
symmetry = P4/mmm (123)

Cell lengths 5.7321, 5.7321, 3.9518 Å; angles 90.00, 90.00, 90.00 degrees
Last column: nearest neighbours and their distance in Å.
Element x y z (fractional)
Te  0.0000  0.5000  0.0000  2 Zr 2.87
Te  0.5000  0.0000  0.0000  2 Zr 2.87
Ni  0.5000  0.5000  0.5000  8 Te 3.48
Zr  0.0000  0.0000  0.0000  2 N 1.98
N  0.0000  0.0000  0.5000  2 Zr 1.98


10.
Computed, not measured: crystalline ZrNiTe2N at its relaxed geometry at the GGA-PBE level of DFT.

Results
relative energy among the computed polymorphs = 0.000 eV/atom
uncorrected energy = -27.85 eV for the cell shown
symmetry = P4/mmm (123)

Cell lengths 5.2886, 5.2886, 3.5142 Å; angles 90.00, 90.00, 90.00 degrees
Last column: nearest neighbours and their distance in Å.
Element x y z (fractional)
Ni  0.0000  0.0000  0.0000  2 N 1.76
Te  0.0000  0.5000  0.0000  2 Ni 2.64
Zr  0.5000  0.5000  0.5000  8 Te 3.17, 2 Zr 3.51
Te  0.5000  0.0000  0.0000  2 Ni 2.64
N  0.0000  0.0000  0.5000  2 Ni 1.76


11.
Computed, not measured: crystalline ThNiN2 at its relaxed geometry at the GGA-PBE level of DFT.

Results
uncorrected energy = -32.72 eV for the cell shown
symmetry = R-3m (166)

Cell lengths 3.8685, 3.8685, 5.8946 Å; angles 70.84, 70.84, 60.00 degrees
Last column: nearest neighbours and their distance in Å.
Element x y z (fractional)
N  0.8930  0.8930  0.3209  1 Ni 1.75
Ni  0.0000  0.0000  0.0000  2 N 1.75
N  0.1070  0.1070  0.6791  1 Ni 1.75
Th  0.5000  0.5000  0.5000  6 N 2.44


12.
Computed, not measured: crystalline Th2NiN at its relaxed geometry at the GGA-PBE level of DFT.

Results
uncorrected energy = -31.96 eV for the cell shown
symmetry = R-3m (166)

Cell lengths 3.7664, 3.7664, 6.9537 Å; angles 74.29, 74.29, 60.00 degrees
Last column: nearest neighbours and their distance in Å.
Element x y z (fractional)
N  0.5000  0.5000  0.5000  6 Th 2.61
Ni  0.0000  0.0000  0.0000  6 Th 2.86
Th  0.2398  0.2398  0.2805  3 N 2.61, 3 Ni 2.86
Th  0.7602  0.7602  0.7195  3 N 2.61, 3 Ni 2.86